Material: La5TlRh
Method: DFT, PBE
State: relaxed

## Properties
Energy of formation from the pure elements = -0.30 eV per atom
M_tot = 0.0 μB/f.u.
DOS(E_F) = 15.43 states/eV/cell
Space-group type = No. 15

Cell: 6.417 6.417 12.018 Å, 76.83 76.83 72.86°
Fractional positions:
La  0.210  0.559  0.549
La  0.559  0.210  0.049
Rh  0.000  0.000  0.500
La  0.437  0.031  0.363
La  0.790  0.441  0.451
La  0.441  0.790  0.951
La  0.979  0.021  0.750
La  0.969  0.563  0.137
Rh  0.000  0.000  0.000
La  0.563  0.969  0.637
Tl  0.450  0.550  0.250
Tl  0.550  0.450  0.750
La  0.021  0.979  0.250
La  0.031  0.437  0.863